GGA-PBE Gd3Tm5O12, optimized geometry; formation energy from raw total energies = -68.110 eV/f.u.; N(E_F) = 0.000 states/eV/atom; crystal system = cubic
1.0
-1.360 10.738 -4.166
-9.811 -6.000 -1.501
2.516 0.531 11.309
O Tm Gd
48 20 12
Direct
0.088 0.175 0.458 O
0.325 0.542 0.412 O
0.870 0.283 0.458 O
0.370 0.958 0.783 O
0.283 0.413 0.825 O
0.088 0.913 0.130 O
0.087 0.175 0.217 O
0.370 0.412 0.087 O
0.825 0.912 0.042 O
0.412 0.370 0.587 O
0.588 0.958 0.675 O
0.630 0.042 0.217 O
0.458 0.675 0.088 O
0.542 0.217 0.130 O
0.912 0.087 0.870 O
0.325 0.783 0.413 O
0.217 0.675 0.087 O
0.458 0.783 0.870 O
0.675 0.217 0.587 O
0.588 0.630 0.413 O
0.913 0.088 0.630 O
0.825 0.913 0.283 O
0.870 0.587 0.912 O
0.958 0.588 0.175 O
0.783 0.325 0.913 O
0.958 0.370 0.283 O
0.217 0.542 0.630 O
0.175 0.087 0.717 O
0.412 0.042 0.325 O
0.042 0.630 0.717 O
0.783 0.458 0.370 O
0.542 0.325 0.912 O
0.283 0.870 0.958 O
0.717 0.130 0.042 O
0.587 0.870 0.412 O
0.587 0.717 0.675 O
0.630 0.588 0.913 O
0.130 0.413 0.088 O
0.717 0.587 0.175 O
0.413 0.283 0.325 O
0.413 0.130 0.588 O
0.042 0.412 0.825 O
0.913 0.825 0.783 O
0.175 0.088 0.958 O
0.087 0.912 0.370 O
0.912 0.825 0.542 O
0.130 0.717 0.542 O
0.675 0.458 0.588 O
0.875 0.625 0.750 Tm
0.750 0.625 0.375 Tm
0.000 0.000 0.000 Tm
0.500 0.000 0.500 Tm
0.250 0.375 0.625 Tm
0.750 0.125 0.875 Tm
0.500 0.500 0.500 Tm
0.375 0.250 0.125 Tm
0.250 0.875 0.125 Tm
0.000 0.000 0.500 Tm
0.875 0.250 0.625 Tm
0.125 0.375 0.250 Tm
0.500 0.500 0.000 Tm
0.500 0.000 0.000 Tm
0.625 0.750 0.875 Tm
0.000 0.500 0.000 Tm
0.125 0.750 0.375 Tm
0.625 0.875 0.250 Tm
0.000 0.500 0.500 Tm
0.375 0.125 0.750 Tm
0.250 0.125 0.375 Gd
0.375 0.625 0.250 Gd
0.125 0.875 0.750 Gd
0.625 0.250 0.375 Gd
0.125 0.250 0.875 Gd
0.750 0.375 0.125 Gd
0.625 0.375 0.750 Gd
0.750 0.875 0.625 Gd
0.875 0.750 0.125 Gd
0.375 0.750 0.625 Gd
0.250 0.625 0.875 Gd
0.875 0.125 0.250 Gd

---

GGA-PBE CoSnTe3, optimized geometry; formation energy from raw total energies = 1.196 eV/f.u.; N(E_F) = 1.294 states/eV/atom; crystal system = cubic
1.0
5.108 0.000 0.000
0.000 5.108 0.000
0.000 0.000 5.108
Te Co Sn
3 1 1
Direct
0.000 0.500 0.000 Te
0.500 0.000 0.000 Te
0.000 0.000 0.500 Te
0.000 0.000 0.000 Co
0.500 0.500 0.500 Sn

---

GGA-PBE SrMnCd, optimized geometry; energy of formation = 0.785 eV/atom; N(E_F) = 1.196 states/eV/atom; crystal system = cubic; relative energy among the computed polymorphs = 0.5732 eV per atom
1.0
-0.646 -1.622 4.976
2.417 -4.375 1.682
3.994 0.346 3.425
Sr Mn Cd
1 1 1
Direct
0.750 0.750 0.750 Sr
0.500 0.500 0.500 Mn
0.000 0.000 0.000 Cd

---

Number 1: electronic total energy -9.6104 eV/atom. Number 2: electronic total energy -3.8675 eV/atom. Number 3: electronic total energy -3.1375 eV/atom.